The following is a DFT calculation (PBE-GGA) of a relaxed structure of Sm3TlSn2.

Computed properties:
raw total energy = -55.6 eV for the cell shown
spin magnetization = 0.00 Bohr magnetons per cell
formation energy from the elements = -0.547 eV per atom

extended XYZ file:
```
12
Lattice="6.4516 0.0000 0.0000 0.0000 6.3875 -0.0547 -3.2258 -1.6399 8.3529" Properties=species:S:1:pos:R:3 pbc="T T T"
Tl 0.8150 1.5969 -0.0137
Tl 5.6366 4.7906 -0.0411
Sn 2.5325 3.0770 2.6582
Sn -0.6933 4.8643 5.6127
Sn 0.6933 1.6705 5.6400
Sn 3.9191 -0.1167 2.6855
Sm 2.4852 4.6527 5.4230
Sm 3.9665 1.4590 5.4504
Sm 0.7407 0.0948 2.8752
Sm -0.7407 3.2886 2.8478
Sm 4.0734 1.5969 -0.0137
Sm 2.3782 4.7906 -0.0411
```

---

The following is a DFT calculation (PBE-GGA) of a relaxed structure of Sm6Tl2Sn.

Computed properties:
raw total energy = -40.3 eV for the cell shown
spin magnetization = 3.48 Bohr magnetons per cell
formation energy from the elements = -0.357 eV per atom

extended XYZ file:
```
9
Lattice="-2.2958 -1.1655 -3.5780 -5.2174 -4.7515 4.8955 -1.8516 8.2505 -1.4994" Properties=species:S:1:pos:R:3 pbc="T T T"
Tl -4.0954 -0.4177 2.7638
Tl -2.9737 3.9167 0.6323
Sm -2.2633 4.3871 -2.6921
Sm -4.2908 -3.4450 1.1600
Sm -1.3945 -1.2700 1.3085
Sm -0.4948 2.2049 -0.4007
Sm -5.1799 2.5639 2.4885
Sm -3.9588 0.8086 -0.4386
Sn -6.3652 -5.3342 3.1064
```

---

The following is a DFT calculation (PBE-GGA) of a relaxed structure of Sm3TlSn2.

Computed properties:
raw total energy = -111.2 eV for the cell shown
spin magnetization = 0.00 Bohr magnetons per cell
formation energy from the elements = -0.546 eV per atom

extended XYZ file:
```
24
Lattice="-4.5185 -0.5853 -1.1822 3.0551 -0.3493 -11.5046 1.4361 -12.6320 0.7649" Properties=species:S:1:pos:R:3 pbc="T T T"
Sm -0.7283 -8.6578 -6.9869
Sm 1.2476 -2.9106 -8.0134
Sm 0.0137 -6.9742 -1.2851
Sm 0.3343 -11.1007 -0.4674
Sm -0.1067 -12.8187 -7.3028
Sm -0.0409 -6.5924 -10.6367
Sm -2.3953 -4.2940 -2.7756
Sm 0.0794 -0.7478 -4.6190
Sm -1.2749 -10.6560 -3.9083
Sm 0.7010 -4.9088 -4.9348
Sm 2.3681 -9.2726 -9.1462
Sm -0.3615 -2.4659 -11.4544
Tl -0.4773 -2.0680 -1.8376
Tl -0.9164 -5.1085 -8.0252
Tl 0.8892 -8.4581 -3.8966
Tl 0.4500 -11.4986 -10.0842
Sn 1.6686 -10.6643 -5.7835
Sn -2.3134 -9.0655 -0.7262
Sn 1.6509 -6.6302 -7.7132
Sn 2.8111 -12.9968 -8.9957
Sn 2.2862 -4.5011 -11.1955
Sn -1.6781 -6.9364 -4.2086
Sn -1.6958 -2.9022 -6.1383
Sn -2.8383 -0.5698 -2.9261
```

---

The following is a DFT calculation (PBE-GGA) of a relaxed structure of SmTlSn2.

Computed properties:
raw total energy = -16.4 eV for the cell shown
spin magnetization = 0.00 Bohr magnetons per cell
formation energy from the elements = -0.321 eV per atom

extended XYZ file:
```
4
Lattice="4.2178 0.0000 0.0000 0.0000 4.2178 0.0000 0.0000 0.0000 6.4390" Properties=species:S:1:pos:R:3 pbc="T T T"
Sm 2.1089 2.1089 0.0000
Sn 0.0000 0.0000 4.9241
Sn 0.0000 0.0000 1.5149
Tl 2.1089 2.1089 3.2195
```

---

The following is a DFT calculation (PBE-GGA) of a relaxed structure of Sm3TlSn3.

Computed properties:
raw total energy = -62.8 eV for the cell shown
spin magnetization = 0.00 Bohr magnetons per cell
formation energy from the elements = -0.410 eV per atom

extended XYZ file:
```
14
Lattice="5.5589 0.0000 0.0000 0.0000 9.0557 0.0000 0.0000 -4.5278 7.8425" Properties=species:S:1:pos:R:3 pbc="T T T"
Sm 4.1692 3.5698 0.7340
Sm 4.1692 3.3787 4.3839
Sm 1.3897 0.9581 7.1084
Sm 1.3897 -2.1072 5.1180
Sm 4.1692 6.6351 2.7245
Sm 1.3897 1.1492 3.4586
Sn 4.1692 2.6160 7.4531
Sn 4.1692 -3.2347 6.3814
Sn 1.3897 3.9091 5.9921
Sn 4.1692 0.6188 1.8504
Sn 1.3897 1.9119 0.3893
Sn 1.3897 7.7626 1.4611
Tl 1.3897 4.5279 2.6141
Tl 4.1692 0.0000 5.2283
```

---

The following is a DFT calculation (PBE-GGA) of a relaxed structure of SmTlSn2.

Computed properties:
raw total energy = -14.3 eV for the cell shown
spin magnetization = 0.00 Bohr magnetons per cell
formation energy from the elements = 0.204 eV per atom

extended XYZ file:
```
4
Lattice="5.0978 0.0000 0.0000 2.5489 4.4148 0.0000 2.5489 1.4716 8.0179" Properties=species:S:1:pos:R:3 pbc="T T T"
Sn 2.5489 1.4716 5.1057
Sn 7.6467 4.4148 2.9122
Sm 5.0978 2.9432 4.0090
Tl 0.0000 0.0000 0.0000
```

---

The following is a DFT calculation (PBE-GGA) of a relaxed structure of Sm5Tl2Sn2.

Computed properties:
raw total energy = -82.3 eV for the cell shown
excess energy over the best structure of this formula in the dataset = 10 meV per atom
spin magnetization = 0.00 Bohr magnetons per cell
formation energy from the elements = -0.533 eV per atom

extended XYZ file:
```
18
Lattice="8.2680 0.0000 0.0000 0.0000 8.3567 0.0000 0.0000 -4.1784 8.0153" Properties=species:S:1:pos:R:3 pbc="T T T"
Sn 4.1340 4.1784 3.2900
Sn 0.0000 0.0000 3.2900
Sn 0.0000 4.1784 4.7253
Sn 4.1340 0.0000 4.7253
Sm 6.8585 5.6451 2.2653
Sm 5.5435 -2.7116 5.7500
Sm 5.5435 1.4667 2.2653
Sm 0.0000 0.0000 0.0000
Sm 6.8585 1.4667 5.7500
Sm 1.4095 -1.4667 5.7500
Sm 1.4095 2.7116 2.2653
Sm 2.7245 6.8900 2.2653
Sm 4.1340 4.1784 0.0000
Sm 2.7245 2.7116 5.7500
Tl 1.0575 5.2490 0.0000
Tl 3.0765 1.0706 0.0000
Tl 5.1915 7.2861 0.0000
Tl 7.2105 3.1078 0.0000
```

---

The following is a DFT calculation (PBE-GGA) of a relaxed structure of Sm6Tl6Sn.

Computed properties:
raw total energy = -49.7 eV for the cell shown
spin magnetization = 0.00 Bohr magnetons per cell
formation energy from the elements = -0.246 eV per atom

extended XYZ file:
```
13
Lattice="6.6029 -0.0004 0.0000 -3.3010 5.7185 0.0000 0.0000 0.0000 10.5560" Properties=species:S:1:pos:R:3 pbc="T T T"
Sm 0.0003 3.8122 5.2780
Sm 0.0004 3.8122 0.0000
Sm 3.3015 1.9059 0.0000
Sm 0.0000 0.0000 7.3901
Sm 0.0000 0.0000 3.1659
Sm 3.3016 1.9059 5.2780
Tl 1.6509 2.8591 2.6623
Tl 1.6509 2.8591 7.8937
Tl 3.3015 -0.0002 7.8938
Tl 3.3015 -0.0002 2.6622
Tl -1.6505 2.8593 7.8938
Tl -1.6505 2.8593 2.6622
Sn 0.0000 0.0000 0.0000
```

---

The following is a DFT calculation (PBE-GGA) of a relaxed structure of Sm4TlSn3.

Computed properties:
raw total energy = -38.6 eV for the cell shown
spin magnetization = 0.00 Bohr magnetons per cell
formation energy from the elements = -0.674 eV per atom

extended XYZ file:
```
8
Lattice="4.6179 0.0000 0.0000 0.0000 4.3807 0.0000 0.0000 0.0000 11.6796" Properties=species:S:1:pos:R:3 pbc="T T T"
Sm 2.3089 0.0000 7.4244
Sm 2.3089 2.1904 4.2663
Sm 0.0000 2.1904 10.0682
Sm 0.0000 0.0000 1.5802
Tl 2.3089 2.1904 1.0617
Sn 0.0000 0.0000 4.7782
Sn 0.0000 2.1904 6.8906
Sn 2.3089 0.0000 10.6488
```

---

The following is a DFT calculation (PBE-GGA) of a relaxed structure of Sm8TmSn2.

Computed properties:
raw total energy = -52.1 eV for the cell shown
spin magnetization = 0.00 Bohr magnetons per cell
formation energy from the elements = -0.166 eV per atom

extended XYZ file:
```
11
Lattice="-1.0017 -5.7996 -0.0443 5.0198 1.1123 7.1405 -8.1004 3.4338 -0.1272" Properties=species:S:1:pos:R:3 pbc="T T T"
Sm -1.9566 -2.2375 2.8174
Sm -2.2435 0.5538 0.6062
Sm -2.1257 0.9840 4.1517
Sm -4.8364 -1.2769 4.7024
Sm 0.7542 0.0234 2.2667
Sm -1.8387 -1.8073 6.3628
Sm 1.5986 -1.2708 5.5007
Sm -5.6808 0.0172 1.4684
Tm -0.5008 -2.8998 -0.0221
Sn -4.0922 2.7245 2.0931
Sn 1.0117 1.8215 4.9203
```

---

The following is a DFT calculation (PBE-GGA) of a relaxed structure of SmTmSn2.

Computed properties:
raw total energy = -40.0 eV for the cell shown
spin magnetization = 0.00 Bohr magnetons per cell
formation energy from the elements = -0.699 eV per atom

extended XYZ file:
```
8
Lattice="4.3033 0.0000 0.0000 0.0000 6.1656 0.0000 0.0000 0.0000 8.4146" Properties=species:S:1:pos:R:3 pbc="T T T"
Sm 0.0000 0.7846 5.7442
Sm 0.0000 5.3810 1.5370
Tm 2.1517 3.8514 6.8789
Tm 2.1517 2.3142 2.6716
Sn 0.0000 2.5008 0.3688
Sn 2.1517 5.6104 3.8373
Sn 0.0000 3.6648 4.5761
Sn 2.1517 0.5552 8.0445
```

---

The following is a DFT calculation (PBE-GGA) of a relaxed structure of SmTm3Sn.

Computed properties:
raw total energy = -45.9 eV for the cell shown
spin magnetization = 0.00 Bohr magnetons per cell
formation energy from the elements = -0.167 eV per atom

extended XYZ file:
```
10
Lattice="5.8609 0.0000 0.0000 0.0000 6.6932 0.0000 0.0000 3.3466 7.9210" Properties=species:S:1:pos:R:3 pbc="T T T"
Tm 1.4652 5.0166 5.3361
Tm 2.9304 0.0000 0.0000
Tm 4.3957 1.6700 2.5849
Tm 1.4652 8.3698 5.3361
Tm 4.3957 5.0232 2.5849
Tm 0.0000 0.0000 0.0000
Sm 1.4652 3.3466 0.9045
Sm 4.3957 6.6932 7.0165
Sn 4.3957 3.3466 5.1972
Sn 1.4652 6.6932 2.7238
```

---

The following is a DFT calculation (PBE-GGA) of a relaxed structure of Sm2TmSn.

Computed properties:
raw total energy = -18.9 eV for the cell shown
excess energy over the best structure of this formula in the dataset = 165 meV per atom
spin magnetization = 0.00 Bohr magnetons per cell
formation energy from the elements = -0.257 eV per atom

extended XYZ file:
```
4
Lattice="-1.3421 4.9617 -1.8396 -3.2862 0.5093 -4.3297 -5.0910 1.8641 0.6414" Properties=species:S:1:pos:R:3 pbc="T T T"
Sm -7.2894 5.5014 -4.1459
Sm -2.4298 1.8338 -1.3820
Tm 0.0000 0.0000 0.0000
Sn -4.8596 3.6676 -2.7639
```

---

The following is a DFT calculation (PBE-GGA) of a relaxed structure of Sm5Tm2Sn5.

Computed properties:
raw total energy = -58.9 eV for the cell shown
spin magnetization = 0.53 Bohr magnetons per cell
formation energy from the elements = -0.530 eV per atom

extended XYZ file:
```
12
Lattice="-2.8090 -1.0429 -3.2480 -1.2977 -5.0141 5.7383 -6.4575 10.6946 2.1507" Properties=species:S:1:pos:R:3 pbc="T T T"
Tm -5.3688 7.8396 2.1259
Tm -5.1953 -3.2020 2.5151
Sm -8.0470 6.5250 4.8642
Sm -4.8346 0.6681 0.9605
Sm -2.5171 -1.8874 -0.2232
Sm -5.7296 3.9695 3.6805
Sm -4.6332 4.8259 -0.5487
Sn -7.1926 1.3520 2.7802
Sn -3.3715 3.2857 1.8608
Sn -7.5681 5.7895 1.6801
Sn 0.0000 0.0000 0.0000
Sn -2.9960 -1.1519 2.9609
```

---

The following is a DFT calculation (PBE-GGA) of a relaxed structure of Sm3TmSn3.

Computed properties:
raw total energy = -67.1 eV for the cell shown
spin magnetization = 0.00 Bohr magnetons per cell
formation energy from the elements = -0.418 eV per atom

extended XYZ file:
```
14
Lattice="6.2305 0.0000 0.0000 0.0000 9.5067 0.0000 0.0000 -4.7533 8.2330" Properties=species:S:1:pos:R:3 pbc="T T T"
Sm 1.5576 1.6950 7.9946
Sm 4.6729 7.7710 2.5294
Sm 4.6729 3.4307 5.4652
Sm 4.6729 3.0584 0.2384
Sm 1.5576 1.3227 2.7678
Sm 1.5576 -3.0177 5.7036
Sn 1.5576 7.7831 2.7565
Sn 4.6729 1.5254 2.8709
Sn 4.6729 1.5044 8.1186
Sn 1.5576 3.2490 0.1144
Sn 4.6729 -3.0297 5.4766
Sn 1.5576 3.2280 5.3621
Tm 1.5576 4.7534 2.7443
Tm 4.6729 0.0000 5.4887
```

---

The following is a DFT calculation (PBE-GGA) of a relaxed structure of SmTmSn2.

Computed properties:
raw total energy = -19.2 eV for the cell shown
spin magnetization = 0.00 Bohr magnetons per cell
formation energy from the elements = -0.509 eV per atom

extended XYZ file:
```
4
Lattice="-1.2105 0.9270 -3.5498 -3.1735 -1.6566 -1.4528 -6.4926 6.3749 1.7764" Properties=species:S:1:pos:R:3 pbc="T T T"
Sn -2.7538 1.4569 -0.7828
Sn -8.1228 4.1884 -2.4434
Sm 0.0000 0.0000 0.0000
Tm -5.4383 2.8227 -1.6131
```

---

The following is a DFT calculation (PBE-GGA) of a relaxed structure of Sm8TmSn6.

Computed properties:
raw total energy = -74.6 eV for the cell shown
spin magnetization = 0.00 Bohr magnetons per cell
formation energy from the elements = -0.555 eV per atom

extended XYZ file:
```
15
Lattice="9.2027 0.0000 0.0000 4.6014 7.9698 0.0000 4.6014 2.6566 6.5619" Properties=species:S:1:pos:R:3 pbc="T T T"
Sm 7.6917 7.9736 2.0585
Sm 9.2027 5.3132 0.0059
Sm 9.2027 5.3132 6.5560
Sm 10.7512 7.9520 4.5034
Sm 12.2622 5.2916 2.0585
Sm 7.6542 2.6744 2.0585
Sm 6.1432 5.3348 4.5034
Sm 10.7137 2.6528 4.5034
Sn 7.6914 8.0070 5.2435
Sn 12.2913 5.2752 5.2435
Sn 10.7141 2.6194 1.3184
Sn 10.7799 7.9690 1.3184
Sn 7.6255 2.6574 5.2435
Sn 6.1142 5.3512 1.3184
Tm 0.0000 0.0000 0.0000
```

---

The following is a DFT calculation (PBE-GGA) of a relaxed structure of SmTmSn.

Computed properties:
raw total energy = -28.9 eV for the cell shown
excess energy over the best structure of this formula in the dataset = 185 meV per atom
spin magnetization = 0.20 Bohr magnetons per cell
formation energy from the elements = -0.422 eV per atom

extended XYZ file:
```
6
Lattice="4.0782 0.0000 0.0000 0.0000 4.0782 0.0000 0.0000 0.0000 10.0051" Properties=species:S:1:pos:R:3 pbc="T T T"
Sm 2.0391 0.0000 4.0617
Sm 0.0000 2.0391 5.9434
Sn 2.0391 0.0000 7.5997
Sn 0.0000 2.0391 2.4054
Tm 0.0000 2.0391 9.1106
Tm 2.0391 0.0000 0.8945
```

---

The following is a DFT calculation (PBE-GGA) of a relaxed structure of Sm3Tm2Sn2.

Computed properties:
raw total energy = -33.1 eV for the cell shown
spin magnetization = 0.42 Bohr magnetons per cell
formation energy from the elements = -0.284 eV per atom

extended XYZ file:
```
7
Lattice="3.4905 0.0000 0.0000 0.0000 7.7503 -0.6237 -1.7453 -3.0123 8.0983" Properties=species:S:1:pos:R:3 pbc="T T T"
Sm 1.7453 0.6023 4.3193
Sm 0.0000 3.8751 -0.3119
Sm 0.0000 4.1356 3.1552
Tm 0.0000 1.0134 1.3024
Tm 1.7453 3.7246 6.1722
Sn 0.0000 -1.4695 6.3507
Sn 1.7453 6.2074 1.1238
```

---

The following is a DFT calculation (PBE-GGA) of a relaxed structure of Sm4TmSn4.

Computed properties:
raw total energy = -87.1 eV for the cell shown
spin magnetization = 0.00 Bohr magnetons per cell
formation energy from the elements = -0.464 eV per atom

extended XYZ file:
```
18
Lattice="6.3787 0.0000 0.0000 0.0000 9.4403 0.0000 0.0000 0.0000 9.4403" Properties=species:S:1:pos:R:3 pbc="T T T"
Sm 0.8462 7.4318 3.9542
Sm 4.0356 8.6743 6.7286
Sm 2.3431 2.7117 8.6743
Sm 4.0356 0.7659 2.7117
Sm 5.5325 5.4861 7.4318
Sm 2.3431 6.7286 0.7659
Sm 0.8462 2.0084 5.4861
Sm 5.5325 3.9542 2.0084
Sn 4.0706 7.2941 3.7146
Sn 0.8812 1.0056 2.5740
Sn 2.3081 5.7257 7.2941
Sn 5.4975 2.5740 8.4347
Sn 0.8812 8.4347 6.8663
Sn 4.0706 2.1461 5.7257
Sn 5.4975 6.8663 1.0056
Sn 2.3081 3.7146 2.1461
Tm 3.1893 4.7201 4.7201
Tm 0.0000 0.0000 0.0000
```

---

The following is a DFT calculation (PBE-GGA) of a relaxed structure of SmTmSn.

Computed properties:
raw total energy = -59.8 eV for the cell shown
excess energy over the best structure of this formula in the dataset = 25 meV per atom
spin magnetization = 2.22 Bohr magnetons per cell
formation energy from the elements = -0.582 eV per atom

extended XYZ file:
```
12
Lattice="4.5020 0.0000 0.0000 0.0000 8.0996 0.0000 0.0000 0.0000 9.7154" Properties=species:S:1:pos:R:3 pbc="T T T"
Tm 3.3765 5.1304 9.0785
Tm 1.1255 2.9691 0.6369
Tm 1.1255 7.0189 4.2208
Tm 3.3765 1.0807 5.4946
Sn 1.1255 6.0575 1.3100
Sn 3.3765 2.0421 8.4054
Sn 1.1255 2.0077 3.5477
Sn 3.3765 6.0919 6.1677
Sm 3.3765 0.3220 1.6360
Sm 3.3765 4.3718 3.2217
Sm 1.1255 7.7776 8.0794
Sm 1.1255 3.7278 6.4937
```

---

The following is a DFT calculation (PBE-GGA) of a relaxed structure of Sm2TmSn.

Computed properties:
raw total energy = -19.6 eV for the cell shown
excess energy over the best structure of this formula in the dataset = 0 meV per atom
spin magnetization = 0.00 Bohr magnetons per cell
formation energy from the elements = -0.422 eV per atom

extended XYZ file:
```
4
Lattice="4.9047 0.0000 0.0000 0.0000 4.8219 0.0000 0.0000 0.0000 4.8219" Properties=species:S:1:pos:R:3 pbc="T T T"
Sm 0.0000 2.4110 0.0000
Sm 0.0000 0.0000 2.4110
Tm 2.4524 2.4110 2.4110
Sn 2.4524 0.0000 0.0000
```